# 1
{"formula": "LaBeSb2O8", "functional": "PBE", "state": "relaxed", "formation_energy_uncorrected_ev_per_atom": -1.7170, "m_tot_mub_per_fu": 1.03, "cell": [[-2.4414, -3.7269, -2.2829], [3.5545, -1.2572, -3.3025], [1.9814, -4.2814, 4.2157]], "species": ["O", "O", "Be", "O", "O", "O", "O", "Sb", "O", "La", "O", "Sb"], "fractional_positions": [[0.6832, 0.6806, 0.9999], [0.3168, 0.3194, 0.0001], [0.0000, 0.0000, 0.0000], [0.1819, 0.8196, 0.8038], [0.2167, 0.7906, 0.2122], [0.8181, 0.1804, 0.1962], [0.6682, 0.6633, 0.5001], [0.5164, 0.4836, 0.2361], [0.3318, 0.3367, 0.4999], [0.0000, 0.0000, 0.5000], [0.7833, 0.2094, 0.7878], [0.4836, 0.5164, 0.7639]]}

=====

# 2
{"formula": "InCuRh", "functional": "PBE", "state": "relaxed", "relative_energy_ev_per_atom": 0.016, "m_tot_mub_per_fu": 0.00, "cell": [[4.5719, 0.0000, 0.0000], [0.0000, 5.3809, 0.0000], [0.0000, 0.0000, 7.8627]], "species": ["In", "In", "Cu", "Rh", "Cu", "In", "In", "Rh", "Rh", "Cu", "Cu", "Rh"], "fractional_positions": [[0.0000, 0.5000, 0.9138], [0.5000, 0.5000, 0.4138], [0.5000, 0.2500, 0.7499], [0.5000, 0.0000, 0.4213], [0.0000, 0.2500, 0.2501], [0.5000, 0.0000, 0.0862], [0.0000, 0.0000, 0.5862], [0.0000, 0.5000, 0.5787], [0.0000, 0.0000, 0.9213], [0.5000, 0.7500, 0.7499], [0.0000, 0.7500, 0.2501], [0.5000, 0.5000, 0.0787]]}

=====

# 3
{"formula": "Ag2SbCl", "functional": "PBE", "state": "relaxed", "formation_energy_uncorrected_ev_per_atom": -0.1398, "relative_energy_ev_per_atom": 0.000, "m_tot_mub_per_fu": 0.00, "cell": [[7.9450, -0.0226, -0.0136], [7.0971, 3.5715, -0.0136], [7.0971, 1.6744, 3.1547]], "species": ["Ag", "Sb", "Ag", "Cl"], "fractional_positions": [[0.5010, 0.5010, 0.5010], [0.7500, 0.7500, 0.7500], [0.9990, 0.9990, 0.9990], [0.2500, 0.2500, 0.2500]]}

=====

# 4
{"formula": "BaHfTa3", "functional": "PBE", "state": "relaxed", "final_energy_ev_per_atom": -7.84, "m_tot_mub_per_fu": 0.85, "cell": [[-4.9265, 1.3806, 0.6029], [-0.9028, -1.0553, -4.9610], [-1.2059, -4.8498, 1.2512]], "species": ["Ta", "Ta", "Ba", "Ta", "Hf"], "fractional_positions": [[0.0000, 0.0000, 0.5000], [0.0000, 0.5000, 0.0000], [0.5000, 0.5000, 0.5000], [0.5000, 0.0000, 0.0000], [0.0000, 0.0000, 0.0000]]}

=====

# 5
{"formula": "Al2TlPt", "functional": "PBE", "state": "relaxed", "relative_energy_ev_per_atom": 0.007, "m_tot_mub_per_fu": 0.00, "cell": [[-1.8020, -2.3797, 0.7957], [1.8655, -0.6054, 2.4143], [-4.4988, 4.9860, 4.7234]], "species": ["Al", "Tl", "Al", "Pt"], "fractional_positions": [[0.0000, 0.7502, 0.4326], [0.5000, 0.7500, 0.7500], [0.0000, 0.7498, 0.0674], [0.5000, 0.2500, 0.2500]]}

=====

# 6
{"formula": "La3InHg2", "functional": "PBE", "state": "relaxed", "relative_energy_ev_per_atom": 0.003, "m_tot_mub_per_fu": 1.06, "cell": [[-2.9502, -0.0661, -2.5968], [3.6678, -0.3514, -4.1579], [-2.0770, -8.1325, 2.5666]], "species": ["La", "Hg", "In", "La", "Hg", "La"], "fractional_positions": [[0.5000, 0.5000, 0.0000], [0.0000, 0.6644, 0.3288], [0.0000, 0.0000, 0.0000], [0.5000, 0.1684, 0.3368], [0.0000, 0.3356, 0.6712], [0.5000, 0.8316, 0.6632]]}

=====

# 7
{"formula": "OsRu", "functional": "PBE", "state": "relaxed", "final_energy_ev_per_atom": -9.78, "m_tot_mub_per_fu": 0.00, "cell": [[14.5582, 0.0000, 0.0000], [0.0000, 4.4330, 0.0000], [0.0000, 0.0000, 2.7310]], "species": ["Ru", "Ru", "Ru", "Os", "Os", "Ru", "Os", "Ru", "Os", "Os", "Os", "Ru"], "fractional_positions": [[0.0000, 0.0000, 0.5000], [0.6916, 0.0000, 0.5000], [0.8084, 0.5000, 0.5000], [0.1495, 0.0000, 0.0000], [0.0000, 0.5000, 0.0000], [0.1916, 0.5000, 0.5000], [0.6495, 0.5000, 0.0000], [0.3084, 0.0000, 0.5000], [0.3505, 0.5000, 0.0000], [0.5000, 0.0000, 0.0000], [0.8505, 0.0000, 0.0000], [0.5000, 0.5000, 0.5000]]}

=====

# 8
{"formula": "LiOs2Au", "functional": "PBE", "state": "relaxed", "relative_energy_ev_per_atom": 0.225, "m_tot_mub_per_fu": 0.00, "cell": [[-1.4637, -0.4707, 4.3070], [3.2898, -2.4946, 1.9669], [0.4552, 3.8585, -2.4123]], "species": ["Au", "Li", "Os", "Os"], "fractional_positions": [[0.5000, 0.5000, 0.0000], [0.7500, 0.2500, 0.5000], [0.0000, 0.0000, 0.0000], [0.2500, 0.7500, 0.5000]]}